w) Density functional theory data (PBE-GGA) for a relaxed structure of TlFeAu2.

Results
- Calculated volume: 18.8 Å³ per atom
- Magnetic moment: 2.74 μB per cell
- Space-group type: C2/m (12)

Unit cell a=5.8259 b=5.8259 c=2.9848 alpha=104.08 beta=104.08 gamma=121.42
Last column: nearest neighbours and their distance in Å.
Sites, in units of the cell vectors:
Tl 0.0000 0.0000 0.0000  4 Fe 2.85-2.93, 4 Au 2.93, 2 Tl 2.98
Fe 0.5000 0.5000 0.0000  4 Tl 2.85-2.93, 4 Au 2.93, 2 Fe 2.98
Au 0.0000 0.5000 0.5000  6 Au 2.85-2.98, 2 Tl 2.93, 2 Fe 2.93
Au 0.5000 0.0000 0.5000  6 Au 2.85-2.98, 2 Tl 2.93, 2 Fe 2.93


x) Density functional theory data (PBE-GGA) for a relaxed structure of TlFeAu2.

Results
- Calculated volume: 18.4 Å³ per atom
- Magnetic moment: 2.73 μB per cell
- Space-group type: Pmmm (47)

Unit cell a=4.1612 b=4.1891 c=4.2205 alpha=90.00 beta=90.00 gamma=90.00
Last column: nearest neighbours and their distance in Å.
Sites, in units of the cell vectors:
Tl 0.0000 0.0000 0.0000  8 Au 2.95-2.96, 4 Fe 2.97
Fe 0.0000 0.5000 0.5000  8 Au 2.95-2.96, 4 Tl 2.97
Au 0.5000 0.0000 0.5000  4 Fe 2.95, 4 Tl 2.96, 4 Au 2.97
Au 0.5000 0.5000 0.0000  4 Tl 2.95, 4 Fe 2.96, 4 Au 2.97


y) Density functional theory data (PBE-GGA) for a relaxed structure of TlFeAu2.

Results
- Calculated volume: 19.2 Å³ per atom
- Magnetic moment: 2.83 μB per cell
- Space-group type: Immm (71)

Unit cell a=6.0748 b=6.0748 c=6.0748 alpha=151.61 beta=133.60 gamma=55.29
Last column: nearest neighbours and their distance in Å.
Sites, in units of the cell vectors:
Tl 0.0000 0.0000 0.0000  4 Fe 2.82, 2 Tl 2.98
Fe 0.5000 0.5000 0.0000  4 Au 2.69, 4 Tl 2.82, 2 Fe 2.98
Au 0.2914 0.7914 0.5000  2 Fe 2.69, 6 Au 2.96-2.98
Au 0.7086 0.2086 0.5000  2 Fe 2.69, 6 Au 2.96-2.98


z) Density functional theory data (PBE-GGA) for a relaxed structure of TlFeAu2.

Results
- Calculated volume: 18.5 Å³ per atom
- Magnetic moment: 3.06 μB per cell
- Space-group type: I-4m2 (119)

Unit cell a=4.9864 b=4.9864 c=4.9864 alpha=128.43 beta=128.43 gamma=75.93
Last column: nearest neighbours and their distance in Å.
Sites, in units of the cell vectors:
Tl 0.0000 0.0000 0.0000  4 Fe 2.93, 8 Au 2.93-3.07
Fe 0.7500 0.2500 0.5000  8 Au 2.93-3.07, 4 Tl 2.93
Au 0.2500 0.7500 0.5000  4 Au 2.93, 4 Tl 2.93, 4 Fe 3.07
Au 0.5000 0.5000 0.0000  4 Fe 2.93, 4 Au 2.93, 4 Tl 3.07


Stability ranking, top and bottom: y) is the most stable and w) is the least stable.


w) Density functional theory data (PBE-GGA) for a relaxed structure of TlFeAu2.

Results
- Calculated volume: 19.5 Å³ per atom
- Magnetic moment: 3.06 μB per cell
- Space-group type: P4/mmm (123)

Unit cell a=3.0042 b=3.0042 c=8.6211 alpha=90.00 beta=90.00 gamma=90.00
Last column: nearest neighbours and their distance in Å.
Sites, in units of the cell vectors:
Tl 0.0000 0.0000 0.0000  4 Tl 3.00, 8 Au 3.35
Fe 0.0000 0.0000 0.5000  8 Au 2.73, 4 Fe 3.00
Au 0.5000 0.5000 0.3007  4 Fe 2.73, 4 Au 3.00
Au 0.5000 0.5000 0.6993  4 Fe 2.73, 4 Au 3.00


x) Density functional theory data (PBE-GGA) for a relaxed structure of TlFeAu2.

Results
- Calculated volume: 19.2 Å³ per atom
- Magnetic moment: 3.00 μB per cell
- Space-group type: Cm (8)

Unit cell a=4.7616 b=4.7616 c=5.5133 alpha=100.89 beta=100.89 gamma=38.88
Last column: nearest neighbours and their distance in Å.
Sites, in units of the cell vectors:
Tl 0.0000 0.0000 0.0000  5 Au 2.91-3.04, 3 Fe 2.94-3.02, 2 Tl 3.17
Fe 0.7486 0.7486 0.2917  5 Au 2.68-2.84, 2 Tl 2.94
Au 0.2406 0.2406 0.7165  5 Au 2.84-3.17, 2 Fe 2.84, 3 Tl 2.91-2.99
Au 0.4873 0.4873 0.4655  3 Fe 2.68-2.71, 3 Au 2.84-2.89


y) Density functional theory data (PBE-GGA) for a relaxed structure of TlFeAu2.

Results
- Calculated volume: 19.0 Å³ per atom
- Magnetic moment: 3.08 μB per cell
- Space-group type: Pm (6)

Unit cell a=3.0217 b=3.7124 c=6.7592 alpha=90.00 beta=90.82 gamma=90.00
Last column: nearest neighbours and their distance in Å.
Sites, in units of the cell vectors:
Tl 0.0000 0.0000 0.0000  4 Fe 3.02-3.05, 2 Tl 3.02, 5 Au 3.07-3.14
Fe 0.4972 0.5000 0.2756  5 Au 2.70-2.92, 2 Tl 3.02, 2 Fe 3.02
Au 0.0040 0.0000 0.4616  4 Fe 2.70, 6 Au 2.91-3.02
Au 0.5115 0.5000 0.7076  6 Au 2.91-3.02, 1 Fe 2.92, 4 Tl 3.07-3.14


z) Density functional theory data (PBE-GGA) for a relaxed structure of TlFeAu2.

Results
- Calculated volume: 18.8 Å³ per atom
- Magnetic moment: 3.03 μB per cell
- Space-group type: Imm2 (44)

Unit cell a=5.6702 b=5.6702 c=5.6702 alpha=148.20 beta=127.92 gamma=62.33
Last column: nearest neighbours and their distance in Å.
Sites, in units of the cell vectors:
Tl 0.0000 0.0000 0.0000  2 Fe 2.83, 6 Au 2.95-3.04, 2 Tl 3.11
Fe 0.7568 0.2568 0.5000  6 Au 2.68-2.94, 2 Tl 2.83
Au 0.2693 0.7693 0.5000  4 Fe 2.94, 4 Au 2.99-3.11, 2 Tl 3.04
Au 0.5322 0.5322 0.0000  2 Fe 2.68, 4 Tl 2.95, 2 Au 2.99


Stability ranking, top and bottom: w) is the most stable and z) is the least stable.


w) Density functional theory data (PBE-GGA) for a relaxed structure of TlFeAu2.

Results
- Calculated volume: 20.2 Å³ per atom
- Magnetic moment: 3.44 μB per cell
- Space-group type: R-3m (166)

Unit cell a=8.6666 b=8.6666 c=8.6666 alpha=22.13 beta=22.13 gamma=22.13
Last column: nearest neighbours and their distance in Å.
Sites, in units of the cell vectors:
Tl 0.0000 0.0000 0.0000  6 Au 3.09, 6 Tl 3.33
Fe 0.5000 0.5000 0.5000  6 Au 2.63
Au 0.2377 0.2377 0.2377  3 Fe 2.63
Au 0.7623 0.7623 0.7623  3 Fe 2.63


x) Density functional theory data (PBE-GGA) for a relaxed structure of TlFeAu2.

Results
- Calculated volume: 18.6 Å³ per atom
- Magnetic moment: 3.04 μB per cell
- Space-group type: I4/mmm (139)

Unit cell a=5.1784 b=5.1784 c=5.1784 alpha=132.43 beta=132.43 gamma=69.55
Last column: nearest neighbours and their distance in Å.
Sites, in units of the cell vectors:
Tl 0.0000 0.0000 0.0000  4 Fe 2.95, 8 Au 2.98
Fe 0.5000 0.5000 0.0000  4 Tl 2.95, 8 Au 2.98
Au 0.2500 0.7500 0.5000  4 Au 2.95, 4 Tl 2.98, 4 Fe 2.98
Au 0.7500 0.2500 0.5000  4 Au 2.95, 4 Tl 2.98, 4 Fe 2.98


Stability ranking, top and bottom: w) is the most stable and x) is the least stable.


w) Density functional theory data (PBE-GGA) for a relaxed structure of TlFe2Au2.

Results
- Calculated volume: 17.9 Å³ per atom
- Magnetic moment: 11.85 μB per cell
- Space-group type: P4/mbm (127)

Unit cell a=7.7775 b=7.7775 c=2.9620 alpha=90.00 beta=90.00 gamma=90.00
Last column: nearest neighbours and their distance in Å.
Sites, in units of the cell vectors:
Tl 0.0000 0.0000 0.0000  2 Tl 2.96, 4 Fe 3.15, 8 Au 3.22
Tl 0.5000 0.5000 0.0000  2 Tl 2.96, 4 Fe 3.15, 8 Au 3.22
Fe 0.1099 0.3901 0.0000  1 Fe 2.42
Fe 0.3901 0.8901 0.0000  1 Fe 2.42
Fe 0.6099 0.1099 0.0000  1 Fe 2.42
Fe 0.8901 0.6099 0.0000  1 Fe 2.42
Au 0.1780 0.6780 0.5000  6 Fe 2.74-2.76, 2 Au 2.96
Au 0.3220 0.1780 0.5000  6 Fe 2.74-2.76, 2 Au 2.96
Au 0.6780 0.8220 0.5000  6 Fe 2.74-2.76, 2 Au 2.96
Au 0.8220 0.3220 0.5000  6 Fe 2.74-2.76, 2 Au 2.96


x) Density functional theory data (PBE-GGA) for a relaxed structure of TlFe2Au2.

Results
- Calculated volume: 18.6 Å³ per atom
- Magnetic moment: 5.82 μB per cell
- Space-group type: I4/mmm (139)

Unit cell a=6.5358 b=6.5358 c=6.5358 alpha=144.63 beta=144.63 gamma=50.88
Last column: nearest neighbours and their distance in Å.
Sites, in units of the cell vectors:
Tl 0.0000 0.0000 0.0000  8 Fe 3.02
Fe 0.4052 0.4052 0.0000  1 Fe 2.24
Fe 0.5948 0.5948 0.0000  1 Fe 2.24
Au 0.2500 0.7500 0.5000  4 Fe 2.70, 4 Au 2.81
Au 0.7500 0.2500 0.5000  4 Fe 2.70, 4 Au 2.81


Stability ranking, top and bottom: w) is the most stable and x) is the least stable.


w) Density functional theory data (PBE-GGA) for a relaxed structure of Tl2FeAu2.

Results
- Calculated volume: 23.3 Å³ per atom
- Magnetic moment: 2.85 μB per cell
- Space-group type: I4/mmm (139)

Unit cell a=8.5567 b=8.5567 c=8.5567 alpha=154.43 beta=154.43 gamma=36.47
Last column: nearest neighbours and their distance in Å.
Sites, in units of the cell vectors:
Tl 0.0958 0.0958 0.0000  4 Fe 3.10, 1 Tl 3.11, 4 Au 3.14
Tl 0.9042 0.9042 0.0000  4 Fe 3.10, 1 Tl 3.11, 4 Au 3.14
Fe 0.5000 0.5000 0.0000  8 Tl 3.10
Au 0.2500 0.7500 0.5000  4 Au 2.68
Au 0.7500 0.2500 0.5000  4 Au 2.68


x) Density functional theory data (PBE-GGA) for a relaxed structure of Tl2FeAu2.

Results
- Calculated volume: 23.1 Å³ per atom
- Magnetic moment: 6.39 μB per cell
- Space-group type: P4/mbm (127)

Unit cell a=6.8790 b=6.8790 c=4.8721 alpha=90.00 beta=90.00 gamma=90.00
Last column: nearest neighbours and their distance in Å.
Sites, in units of the cell vectors:
Tl 0.1736 0.3264 0.0000  6 Au 3.00-3.29
Tl 0.3264 0.8264 0.0000  6 Au 3.00-3.29
Tl 0.6736 0.1736 0.0000  6 Au 3.00-3.29
Tl 0.8264 0.6736 0.0000  6 Au 3.00-3.29
Fe 0.0000 0.0000 0.5000  4 Au 2.63
Fe 0.5000 0.5000 0.5000  4 Au 2.63
Au 0.1471 0.6471 0.5000  2 Fe 2.63, 1 Au 2.86
Au 0.3529 0.1471 0.5000  2 Fe 2.63, 1 Au 2.86
Au 0.6471 0.8529 0.5000  2 Fe 2.63, 1 Au 2.86
Au 0.8529 0.3529 0.5000  2 Fe 2.63, 1 Au 2.86


Stability ranking, top and bottom: x) is the most stable and w) is the least stable.